Density functional theory data (PBE) for a relaxed Ba4FeAg crystal.

```
Ba4FeAg
1.0
-2.742 -6.342 2.007
1.486 -2.661 6.517
-5.135 -0.269 5.032
Ba Ag Fe
4 1 1
Direct
0.874 0.375 0.375 Ba
0.375 0.874 0.375 Ba
0.375 0.375 0.375 Ba
0.375 0.375 0.874 Ba
0.000 0.000 0.000 Ag
0.750 0.750 0.750 Fe
```

Results
Its space group is F-43m, No. 216. Its total energy is -2.24 eV/atom. The formation energy comes out at 0.925 eV per atom.

=====

Density functional theory data (PBE) for a relaxed BaFe2Ag crystal.

```
BaFe2Ag
1.0
-2.767 -2.947 -2.479
-1.065 -1.296 2.731
-4.912 3.751 1.025
Fe Ba Ag
2 1 1
Direct
0.000 0.463 0.389 Fe
0.000 0.037 0.111 Fe
0.500 0.750 0.750 Ba
0.500 0.250 0.250 Ag
```

Results
Its space group is P2/m, No. 10. Its total energy is -4.76 eV/atom. The formation energy comes out at 0.660 eV per atom.

=====

Density functional theory data (PBE) for a relaxed BaFe2Ag crystal.

```
BaFe2Ag
1.0
5.901 0.085 0.161
2.618 5.289 -0.161
-3.623 -3.697 2.840
Fe Ag Ba
2 1 1
Direct
0.526 0.526 0.000 Fe
0.974 0.974 0.000 Fe
0.750 0.250 0.500 Ag
0.250 0.750 0.500 Ba
```

Results
Its space group is Immm, No. 71. Its total energy is -4.56 eV/atom. The formation energy comes out at 0.867 eV per atom.

=====

Density functional theory data (PBE) for a relaxed BaFeAg3 crystal.

```
BaFeAg3
1.0
6.009 0.000 0.000
0.000 6.009 0.000
0.000 0.000 6.009
Ag Fe Ba
3 1 1
Direct
0.000 0.000 0.500 Ag
0.500 0.000 0.000 Ag
0.000 0.500 0.000 Ag
0.500 0.500 0.500 Fe
0.000 0.000 0.000 Ba
```

Results
Its space group is Pm-3m, No. 221. Its total energy is -2.20 eV/atom. The value obtained for the energy relative to the lowest polymorph listed for this composition is 1305.0 meV per atom. The formation energy comes out at 1.591 eV per atom.